Model one:
First-principles (GGA-PBE) data for crystalline TaOsRu at its relaxed geometry, as listed in the Alexandria database.

Calculated values
D(E_F) = 7.11 states/eV per cell

Cell and atoms, written as CIF:
```
data_TaOsRu
_cell_length_a 2.8189
_cell_length_b 3.8609
_cell_length_c 8.5356
_cell_angle_alpha 90.00
_cell_angle_beta 90.00
_cell_angle_gamma 90.00
_space_group_name_H-M_alt 'I m m 2'
_space_group_IT_number 44
loop_
_space_group_symop_operation_xyz
'x,y,z'
'-x,-y,z'
'-x,y,z'
'x,-y,z'
'x+1/2,y+1/2,z+1/2'
'-x+1/2,-y+1/2,z+1/2'
'-x+1/2,y+1/2,z+1/2'
'x+1/2,-y+1/2,z+1/2'
loop_
_atom_site_label
_atom_site_type_symbol
_atom_site_fract_x
_atom_site_fract_y
_atom_site_fract_z
Ta1 Ta 0.0000 0.0000 0.0000
Os1 Os 0.0000 0.0000 0.3279
Ru1 Ru 0.0000 0.0000 0.6744
```



Model two:
First-principles (GGA-PBE) data for crystalline TaOsRu at its relaxed geometry, as listed in the Alexandria database.

Calculated values
D(E_F) = 6.16 states/eV per cell

Cell and atoms, written as CIF:
```
data_TaOsRu
_cell_length_a 4.4483
_cell_length_b 4.4483
_cell_length_c 5.4800
_cell_angle_alpha 90.00
_cell_angle_beta 90.00
_cell_angle_gamma 120.00
_space_group_name_H-M_alt 'P 63/m m c'
_space_group_IT_number 194
_space_group_name_Hall '-P 6c 2c'
loop_
_atom_site_label
_atom_site_type_symbol
_atom_site_fract_x
_atom_site_fract_y
_atom_site_fract_z
Ta1 Ta 0.3333 0.6667 0.2500
Os1 Os 0.3333 0.6667 0.7500
Ru1 Ru 0.0000 0.0000 0.0000
```



Best to worst by energy: model two, model one.



Model one:
First-principles (GGA-PBE) data for crystalline TaOsRu at its relaxed geometry, as listed in the Alexandria database.

Calculated values
D(E_F) = 7.08 states/eV per cell

Cell and atoms, written as CIF:
```
data_TaOsRu
_cell_length_a 4.4194
_cell_length_b 4.4194
_cell_length_c 5.4695
_cell_angle_alpha 90.00
_cell_angle_beta 90.00
_cell_angle_gamma 120.00
_space_group_name_H-M_alt 'P 63/m m c'
_space_group_IT_number 194
_space_group_name_Hall '-P 6c 2c'
loop_
_atom_site_label
_atom_site_type_symbol
_atom_site_fract_x
_atom_site_fract_y
_atom_site_fract_z
Ta1 Ta 0.3333 0.6667 0.2500
Os1 Os 0.0000 0.0000 0.0000
Ru1 Ru 0.3333 0.6667 0.7500
```



Model two:
First-principles (GGA-PBE) data for crystalline TaOsRu at its relaxed geometry, as listed in the Alexandria database.

Calculated values
D(E_F) = 7.79 states/eV per cell

Cell and atoms, written as CIF:
```
data_TaOsRu
_cell_length_a 5.6189
_cell_length_b 4.3480
_cell_length_c 4.4709
_cell_angle_alpha 90.00
_cell_angle_beta 90.00
_cell_angle_gamma 90.00
_space_group_name_H-M_alt 'P m m a'
_space_group_IT_number 51
loop_
_space_group_symop_operation_xyz
'x,y,z'
'-x,-y,-z'
'-x+1/2,-y,z'
'x+1/2,y,-z'
'x+1/2,-y,-z'
'-x+1/2,y,z'
'-x,y,-z'
'x,-y,z'
loop_
_atom_site_label
_atom_site_type_symbol
_atom_site_fract_x
_atom_site_fract_y
_atom_site_fract_z
Ta1 Ta 0.2500 0.0000 0.0099
Os1 Os 0.2500 0.5000 0.4066
Ru1 Ru 0.0000 0.0000 0.5000
```



Model three:
First-principles (GGA-PBE) data for crystalline TaOsRu at its relaxed geometry, as listed in the Alexandria database.

Calculated values
D(E_F) = 6.31 states/eV per cell

Cell and atoms, written as CIF:
```
data_TaOsRu
_cell_length_a 3.1472
_cell_length_b 3.1472
_cell_length_c 9.5894
_cell_angle_alpha 90.00
_cell_angle_beta 90.00
_cell_angle_gamma 90.00
_space_group_name_H-M_alt 'I 4 m m'
_space_group_IT_number 107
_space_group_name_Hall 'I 4 -2'
loop_
_atom_site_label
_atom_site_type_symbol
_atom_site_fract_x
_atom_site_fract_y
_atom_site_fract_z
Ta1 Ta 0.0000 0.0000 0.0000
Os1 Os 0.0000 0.0000 0.3456
Ru1 Ru 0.0000 0.0000 0.6552
```



Model four:
First-principles (GGA-PBE) data for crystalline TaOsRu at its relaxed geometry, as listed in the Alexandria database.

Calculated values
D(E_F) = 8.13 states/eV per cell

Cell and atoms, written as CIF:
```
data_TaOsRu
_cell_length_a 6.0116
_cell_length_b 6.0116
_cell_length_c 6.0116
_cell_angle_alpha 90.00
_cell_angle_beta 90.00
_cell_angle_gamma 90.00
_space_group_name_H-M_alt 'F -4 3 m'
_space_group_IT_number 216
_space_group_name_Hall 'F -4 2 3'
loop_
_atom_site_label
_atom_site_type_symbol
_atom_site_fract_x
_atom_site_fract_y
_atom_site_fract_z
Ta1 Ta 0.0000 0.0000 0.0000
Os1 Os 0.0000 0.0000 0.5000
Ru1 Ru 0.2500 0.2500 0.7500
```



Best to worst by energy: model one, model three, model four, model two.



Model one:
First-principles (GGA-PBE) data for crystalline Ta3OsRu at its relaxed geometry, as listed in the Alexandria database.

Calculated values
D(E_F) = 6.06 states/eV per cell

Cell and atoms, written as CIF:
```
data_Ta3OsRu
_cell_length_a 4.6924
_cell_length_b 4.6924
_cell_length_c 4.6924
_cell_angle_alpha 90.00
_cell_angle_beta 90.00
_cell_angle_gamma 90.00
_space_group_name_H-M_alt 'P m -3 m'
_space_group_IT_number 221
_space_group_name_Hall '-P 4 2 3'
loop_
_atom_site_label
_atom_site_type_symbol
_atom_site_fract_x
_atom_site_fract_y
_atom_site_fract_z
Ta1 Ta 0.0000 0.0000 0.5000
Os1 Os 0.5000 0.5000 0.5000
Ru1 Ru 0.0000 0.0000 0.0000
```



Model two:
First-principles (GGA-PBE) data for crystalline Ta3OsRu at its relaxed geometry, as listed in the Alexandria database.

Calculated values
D(E_F) = 6.47 states/eV per cell

Cell and atoms, written as CIF:
```
data_Ta3OsRu
_cell_length_a 4.7762
_cell_length_b 4.7762
_cell_length_c 4.7762
_cell_angle_alpha 90.00
_cell_angle_beta 90.00
_cell_angle_gamma 90.00
_space_group_name_H-M_alt 'P m -3 m'
_space_group_IT_number 221
_space_group_name_Hall '-P 4 2 3'
loop_
_atom_site_label
_atom_site_type_symbol
_atom_site_fract_x
_atom_site_fract_y
_atom_site_fract_z
Ta1 Ta 0.0000 0.0000 0.5000
Os1 Os 0.0000 0.0000 0.0000
Ru1 Ru 0.5000 0.5000 0.5000
```



Best to worst by energy: model two, model one.



Model one:
First-principles (GGA-PBE) data for crystalline TaOsRu4 at its relaxed geometry, as listed in the Alexandria database.

Calculated values
D(E_F) = 20.31 states/eV per cell

Cell and atoms, written as CIF:
```
data_TaOsRu4
_cell_length_a 5.9026
_cell_length_b 5.9739
_cell_length_c 5.9016
_cell_angle_alpha 90.00
_cell_angle_beta 90.00
_cell_angle_gamma 90.00
_space_group_name_H-M_alt 'P m m a'
_space_group_IT_number 51
loop_
_space_group_symop_operation_xyz
'x,y,z'
'-x,-y,-z'
'-x+1/2,-y,z'
'x+1/2,y,-z'
'x+1/2,-y,-z'
'-x+1/2,y,z'
'-x,y,-z'
'x,-y,z'
loop_
_atom_site_label
_atom_site_type_symbol
_atom_site_fract_x
_atom_site_fract_y
_atom_site_fract_z
Ta1 Ta 0.2500 0.0000 0.2456
Os1 Os 0.2500 0.5000 0.7448
Ru1 Ru 0.0000 0.2539 0.5000
Ru2 Ru 0.0000 0.2597 0.0000
```



Model two:
First-principles (GGA-PBE) data for crystalline TaOsRu4 at its relaxed geometry, as listed in the Alexandria database.

Calculated values
D(E_F) = 21.49 states/eV per cell

Cell and atoms, written as CIF:
```
data_TaOsRu4
_cell_length_a 8.2057
_cell_length_b 10.1599
_cell_length_c 5.1047
_cell_angle_alpha 90.00
_cell_angle_beta 123.02
_cell_angle_gamma 90.00
_space_group_name_H-M_alt 'C 1 2/c 1'
_space_group_IT_number 15
loop_
_space_group_symop_operation_xyz
'x,y,z'
'-x,-y,-z'
'-x,y,-z+1/2'
'x,-y,z+1/2'
'x+1/2,y+1/2,z'
'-x+1/2,-y+1/2,-z'
'-x+1/2,y+1/2,-z+1/2'
'x+1/2,-y+1/2,z+1/2'
loop_
_atom_site_label
_atom_site_type_symbol
_atom_site_fract_x
_atom_site_fract_y
_atom_site_fract_z
Ta1 Ta 0.0000 0.1835 0.2500
Os1 Os 0.0000 0.0842 0.7500
Ru1 Ru 0.1636 0.4284 0.2344
Ru2 Ru 0.1693 0.3169 0.7554
```



Model three:
First-principles (GGA-PBE) data for crystalline TaOsRu4 at its relaxed geometry, as listed in the Alexandria database.

Calculated values
D(E_F) = 43.79 states/eV per cell

Cell and atoms, written as CIF:
```
data_TaOsRu4
_cell_length_a 7.1393
_cell_length_b 7.1393
_cell_length_c 7.1393
_cell_angle_alpha 90.00
_cell_angle_beta 90.00
_cell_angle_gamma 90.00
_space_group_name_H-M_alt 'F -4 3 m'
_space_group_IT_number 216
_space_group_name_Hall 'F -4 2 3'
loop_
_atom_site_label
_atom_site_type_symbol
_atom_site_fract_x
_atom_site_fract_y
_atom_site_fract_z
Ta1 Ta 0.0000 0.0000 0.0000
Os1 Os 0.2500 0.2500 0.2500
Ru1 Ru 0.1243 0.1243 0.6243
```



Best to worst by energy: model two, model three, model one.



Model one:
First-principles (GGA-PBE) data for crystalline TcOs2Ru at its relaxed geometry, as listed in the Alexandria database.

Calculated values
D(E_F) = 8.42 states/eV per cell

Cell and atoms, written as CIF:
```
data_TcOs2Ru
_cell_length_a 9.0406
_cell_length_b 2.7193
_cell_length_c 4.7202
_cell_angle_alpha 90.00
_cell_angle_beta 99.85
_cell_angle_gamma 90.00
_space_group_name_H-M_alt 'C 1 2/m 1'
_space_group_IT_number 12
loop_
_space_group_symop_operation_xyz
'x,y,z'
'-x,-y,-z'
'-x,y,-z'
'x,-y,z'
'x+1/2,y+1/2,z'
'-x+1/2,-y+1/2,-z'
'-x+1/2,y+1/2,-z'
'x+1/2,-y+1/2,z'
loop_
_atom_site_label
_atom_site_type_symbol
_atom_site_fract_x
_atom_site_fract_y
_atom_site_fract_z
Tc1 Tc 0.0000 0.0000 0.0000
Os1 Os 0.2501 0.0000 0.7510
Ru1 Ru 0.0000 0.5000 0.5000
```



Model two:
First-principles (GGA-PBE) data for crystalline TcOs2Ru at its relaxed geometry, as listed in the Alexandria database.

Calculated values
D(E_F) = 3.76 states/eV per cell

Cell and atoms, written as CIF:
```
data_TcOs2Ru
_cell_length_a 2.7226
_cell_length_b 2.7226
_cell_length_c 7.7172
_cell_angle_alpha 90.00
_cell_angle_beta 90.00
_cell_angle_gamma 90.00
_space_group_name_H-M_alt 'P 4 m m'
_space_group_IT_number 99
loop_
_space_group_symop_operation_xyz
'x,y,z'
'-y,x,z'
'-x,-y,z'
'y,-x,z'
'-x,y,z'
'y,x,z'
'x,-y,z'
'-y,-x,z'
loop_
_atom_site_label
_atom_site_type_symbol
_atom_site_fract_x
_atom_site_fract_y
_atom_site_fract_z
Tc1 Tc 0.0000 0.0000 0.0000
Os1 Os 0.0000 0.0000 0.5011
Os2 Os 0.5000 0.5000 0.2553
Ru1 Ru 0.5000 0.5000 0.7517
```



Model three:
First-principles (GGA-PBE) data for crystalline TcOs2Ru at its relaxed geometry, as listed in the Alexandria database.

Calculated values
D(E_F) = 5.97 states/eV per cell

Cell and atoms, written as CIF:
```
data_TcOs2Ru
_cell_length_a 2.7919
_cell_length_b 5.5076
_cell_length_c 7.9847
_cell_angle_alpha 90.00
_cell_angle_beta 90.00
_cell_angle_gamma 90.00
_space_group_name_H-M_alt 'I m m 2'
_space_group_IT_number 44
loop_
_space_group_symop_operation_xyz
'x,y,z'
'-x,-y,z'
'-x,y,z'
'x,-y,z'
'x+1/2,y+1/2,z+1/2'
'-x+1/2,-y+1/2,z+1/2'
'-x+1/2,y+1/2,z+1/2'
'x+1/2,-y+1/2,z+1/2'
loop_
_atom_site_label
_atom_site_type_symbol
_atom_site_fract_x
_atom_site_fract_y
_atom_site_fract_z
Tc1 Tc 0.0000 0.0000 0.0000
Os1 Os 0.0000 0.2524 0.7108
Ru1 Ru 0.0000 0.5000 0.0013
```



Model four:
First-principles (GGA-PBE) data for crystalline TcOs2Ru at its relaxed geometry, as listed in the Alexandria database.

Calculated values
D(E_F) = 8.47 states/eV per cell

Cell and atoms, written as CIF:
```
data_TcOs2Ru
_cell_length_a 2.7335
_cell_length_b 2.7335
_cell_length_c 26.4317
_cell_angle_alpha 90.00
_cell_angle_beta 90.00
_cell_angle_gamma 120.00
_space_group_name_H-M_alt 'R 3 m'
_space_group_IT_number 160
_space_group_name_Hall 'R 3 -2"'
loop_
_atom_site_label
_atom_site_type_symbol
_atom_site_fract_x
_atom_site_fract_y
_atom_site_fract_z
Tc1 Tc 0.0000 0.0000 0.0000
Os1 Os 0.0000 0.0000 0.4165
Os2 Os 0.0000 0.0000 0.5807
Ru1 Ru 0.0000 0.0000 0.1643
```



Best to worst by energy: model four, model one, model two, model three.



Model one:
First-principles (GGA-PBE) data for crystalline TcOs2Ru at its relaxed geometry, as listed in the Alexandria database.

Calculated values
D(E_F) = 8.47 states/eV per cell

Cell and atoms, written as CIF:
```
data_TcOs2Ru
_cell_length_a 5.4501
_cell_length_b 7.7126
_cell_length_c 2.7207
_cell_angle_alpha 90.00
_cell_angle_beta 90.00
_cell_angle_gamma 90.00
_space_group_name_H-M_alt 'C m m m'
_space_group_IT_number 65
_space_group_name_Hall '-C 2 2'
loop_
_atom_site_label
_atom_site_type_symbol
_atom_site_fract_x
_atom_site_fract_y
_atom_site_fract_z
Tc1 Tc 0.0000 0.0000 0.0000
Os1 Os 0.2500 0.2500 0.5000
Ru1 Ru 0.0000 0.5000 0.0000
```



Model two:
First-principles (GGA-PBE) data for crystalline TcOs2Ru at its relaxed geometry, as listed in the Alexandria database.

Calculated values
D(E_F) = 10.56 states/eV per cell

Cell and atoms, written as CIF:
```
data_TcOs2Ru
_cell_length_a 2.7269
_cell_length_b 2.7269
_cell_length_c 26.6654
_cell_angle_alpha 90.00
_cell_angle_beta 90.00
_cell_angle_gamma 120.00
_space_group_name_H-M_alt 'R 3 m'
_space_group_IT_number 160
_space_group_name_Hall 'R 3 -2"'
loop_
_atom_site_label
_atom_site_type_symbol
_atom_site_fract_x
_atom_site_fract_y
_atom_site_fract_z
Tc1 Tc 0.0000 0.0000 0.0000
Os1 Os 0.0000 0.0000 0.5005
Os2 Os 0.0000 0.0000 0.7504
Ru1 Ru 0.0000 0.0000 0.2500
```



Best to worst by energy: model one, model two.